Crystalline TaBePt2 at its relaxed geometry. Source: Alexandria, functional GGA-PBE.

Calculated values
V (Å³ per cell): 58
E (Ha/atom): -0.2684
Energy of formation (eV/atom): -0.3888

Geometry as extended XYZ:
```
4
Lattice="-8.328 -1.236 -1.075 -7.344 -2.644 -3.332 -7.479 -3.930 -0.807" Properties=species:S:1:pos:R:3 pbc="T T T"
Pt -11.314 -3.817 -2.548
Pt -0.261 -0.088 -0.059
Be -17.364 -5.857 -3.910
Ta -5.788 -1.952 -1.303
```